Crystalline Ba2CdH at its relaxed geometry. Source: Alexandria via LeMat-Bulk, functional PBE.

The calculation puts the total energy at -18.34 eV/cell. As for the excess energy over the best structure of this formula in the dataset: 0.000 eV/atom. The value obtained for the density of states at the Fermi level is 4.86 states/eV/f.u.

It has space group P4/nmm (No. 129, origin choice 2), with a = 5.451 Å, b = 5.451 Å, c = 9.272 Å, α = 90.00°, β = 90.00° and γ = 90.00°. The distinct sites, in fractional coordinates, are Ba at (0.250, 0.250, 0.143), Ba at (0.250, 0.750, 0.500), Cd at (0.250, 0.250, 0.762) and H at (0.250, 0.250, 0.441).

=====

Crystalline Ba3CdH2 at its relaxed geometry. Source: Alexandria via LeMat-Bulk, functional PBE.

The calculation puts the total energy at -61.14 eV/cell. As for the excess energy over the best structure of this formula in the dataset: 0.000 eV/atom. The value obtained for the density of states at the Fermi level is 4.70 states/eV/f.u.

It has space group Cmcm (No. 63), with a = 10.405 Å, b = 13.925 Å, c = 5.822 Å, α = 90.00°, β = 90.00° and γ = 90.00°. The distinct sites, in fractional coordinates, are Ba at (0.000, 0.101, 0.250), Ba at (0.206, 0.384, 0.250), Cd at (0.000, 0.289, 0.750) and H at (0.158, 0.000, 0.000).

=====

Crystalline Ba4CdH2 at its relaxed geometry. Source: Alexandria via LeMat-Bulk, functional PBE.

The calculation puts the total energy at -30.79 eV/cell. The value obtained for the density of states at the Fermi level is 4.55 states/eV/f.u.

It has space group I4/mmm (No. 139), with a = 6.445 Å, b = 6.445 Å, c = 14.669 Å, α = 90.00°, β = 90.00° and γ = 90.00°. The distinct sites, in fractional coordinates, are Ba at (0.000, 0.000, 0.248), Ba at (0.000, 0.500, 0.000), Cd at (0.000, 0.000, 0.000) and H at (0.000, 0.000, 0.419).